Version P
Below is crystalline TbPrY3 at its relaxed geometry, with properties calculated at the PBE level.

abc: 5.7518 6.3180 9.6710
angles: 108.77 90.00 90.00
Positions (direct):
Pr1 0.9221 0.4212 0.3944
Y1 0.9221 0.2235 0.9887
Tb1 0.9221 0.0202 0.5937
Y2 0.4221 0.3547 0.5965
Y3 0.9221 0.8222 0.1898
Y4 0.9221 0.6214 0.7922
Tb2 0.4221 0.5581 0.9915
Pr2 0.4221 0.1570 0.1909
Y5 0.4221 0.9569 0.7930
Y6 0.4221 0.7560 0.3955

## Properties
space group = P2_1/m, No. 11
V = 332.76 Å³ per cell



Version Q
Below is crystalline TbPrY3 at its relaxed geometry, with properties calculated at the PBE level.

abc: 9.8642 8.8051 8.8051
angles: 117.72 95.24 95.24
Positions (direct):
Y1 0.6864 0.5770 0.0209
Y2 0.8136 0.9791 0.4230
Y3 0.9431 0.2570 0.8781
Y4 0.1864 0.0209 0.5770
Y5 0.3136 0.4230 0.9791
Tb1 0.2500 0.0170 0.9830
Y6 0.6180 0.7039 0.4957
Pr1 0.5439 0.2908 0.1916
Pr2 0.9561 0.8084 0.7092
Tb2 0.7500 0.4055 0.5945
Y7 0.5569 0.1219 0.7430
Y8 0.4431 0.8781 0.2570
Pr3 0.0439 0.1916 0.2908
Y9 0.1180 0.4957 0.7039
Tb3 0.7500 0.9830 0.0170
Y10 0.3820 0.2961 0.5043
Y11 0.0569 0.7430 0.1219
Y12 0.8820 0.5043 0.2961
Pr4 0.4561 0.7092 0.8084
Tb4 0.2500 0.5945 0.4055

## Properties
space group = C2/c, No. 15
V = 666.37 Å³ per cell



Which is most stable? The ranking, best first, is version P, version Q.



Version P
Below is crystalline Tb3PrY6 at its relaxed geometry, with properties calculated at the PBE level.

abc: 6.4332 11.6093 11.6093
angles: 130.70 90.00 90.00
Positions (direct):
Y1 0.0707 0.3789 0.2608
Y2 0.8310 0.8939 0.4579
Y3 0.8128 0.0146 0.9854
Y4 0.3128 0.9854 0.0146
Pr1 0.0111 0.1621 0.8379
Tb1 0.5973 0.5813 0.4187
Tb2 0.9848 0.0424 0.2970
Tb3 0.4848 0.2970 0.0424
Y5 0.3310 0.4579 0.8939
Tb4 0.9848 0.7030 0.9576
Y6 0.0707 0.7392 0.6211
Y7 0.3310 0.1061 0.5421
Pr2 0.5111 0.8379 0.1621
Y8 0.5707 0.6211 0.7392
Y9 0.5707 0.2608 0.3789
Tb5 0.0973 0.4187 0.5813
Y10 0.2913 0.6981 0.3019
Tb6 0.4848 0.9576 0.7030
Y11 0.8310 0.5421 0.1061
Y12 0.7913 0.3019 0.6981

## Properties
space group = Cmc2_1, No. 36
V = 657.30 Å³ per cell



Version Q
Below is crystalline Tb3PrY6 at its relaxed geometry, with properties calculated at the PBE level.

abc: 6.2891 10.9981 10.9981
angles: 119.62 90.00 90.00
Positions (direct):
Y1 0.4018 0.9533 0.0467
Tb1 0.5732 0.6102 0.3898
Y2 0.5341 0.2895 0.3809
Pr1 0.1569 0.2057 0.7943
Y3 0.9018 0.0467 0.9533
Y4 0.3638 0.5405 0.9589
Y5 0.0341 0.7105 0.6191
Y6 0.8638 0.4595 0.0411
Y7 0.8638 0.9589 0.5405
Tb2 0.9543 0.7157 0.9352
Y8 0.0341 0.3809 0.2895
Tb3 0.0732 0.3898 0.6102
Y9 0.6490 0.2831 0.7169
Tb4 0.4543 0.9352 0.7157
Pr2 0.6569 0.7943 0.2057
Tb5 0.4543 0.2843 0.0648
Y10 0.5341 0.6191 0.7105
Y11 0.3638 0.0411 0.4595
Y12 0.1490 0.7169 0.2831
Tb6 0.9543 0.0648 0.2843

## Properties
space group = Cmc2_1, No. 36
V = 661.29 Å³ per cell



Which is most stable? The ranking, best first, is version P, version Q.



Version P
Below is crystalline Tb6Pr3Y at its relaxed geometry, with properties calculated at the PBE level.

abc: 6.4581 10.9850 10.9850
angles: 120.25 90.00 90.00
Positions (direct):
Pr1 0.5758 0.6127 0.3873
Tb1 0.0525 0.3745 0.2835
Tb2 0.0525 0.7165 0.6255
Tb3 0.3532 0.9667 0.0333
Tb4 0.5525 0.6255 0.7165
Tb5 0.8681 0.4771 0.0560
Pr2 0.0758 0.3873 0.6127
Pr3 0.9696 0.0633 0.2931
Tb6 0.3681 0.0560 0.4771
Tb7 0.8681 0.9440 0.5229
Tb8 0.5525 0.2835 0.3745
Tb9 0.3681 0.5229 0.9440
Tb10 0.1551 0.7292 0.2708
Y1 0.6207 0.8126 0.1874
Tb11 0.6551 0.2708 0.7292
Pr4 0.4696 0.9367 0.7069
Tb12 0.8532 0.0333 0.9667
Pr5 0.4696 0.2931 0.0633
Pr6 0.9696 0.7069 0.9367
Y2 0.1207 0.1874 0.8126

## Properties
space group = Cmc2_1, No. 36
V = 673.20 Å³ per cell



Version Q
Below is crystalline Tb6Pr3Y at its relaxed geometry, with properties calculated at the PBE level.

abc: 6.6390 9.8527 6.7004
angles: 112.17 119.70 90.00
Positions (direct):
Tb1 0.3649 0.0789 0.7297
Pr1 0.9279 0.2976 0.8558
Tb2 0.4410 0.3141 0.3700
Pr2 0.0000 0.0000 0.0000
Y1 0.5000 0.5000 0.0000
Tb3 0.0710 0.6859 0.6300
Tb4 0.9290 0.3141 0.3700
Tb5 0.6351 0.9211 0.2703
Pr3 0.0721 0.7024 0.1442
Tb6 0.5590 0.6859 0.6300

## Properties
space group = C2/m, No. 12
V = 342.93 Å³ per cell



Which is most stable? The ranking, best first, is version P, version Q.



Version P
Below is crystalline TbPr4Y2 at its relaxed geometry, with properties calculated at the PBE level.

abc: 6.0817 6.2464 7.2759
angles: 115.42 90.00 90.00
Positions (direct):
Pr1 0.0000 0.8071 0.6143
Pr2 0.5000 0.6362 0.2723
Pr3 0.5000 0.3638 0.7277
Tb1 0.0000 0.5000 0.0000
Pr4 0.0000 0.1929 0.3857
Y1 0.5000 0.8864 0.7727
Y2 0.5000 0.1136 0.2273

## Properties
space group = Cmmm, No. 65
V = 249.64 Å³ per cell



Version Q
Below is crystalline TbPr4Y2 at its relaxed geometry, with properties calculated at the PBE level.

abc: 12.7084 12.7084 6.8904
angles: 97.01 97.01 150.18
Positions (direct):
Y1 0.9227 0.1049 0.0499
Pr1 0.7125 0.1762 0.8656
Pr2 0.7947 0.1859 0.3994
Pr3 0.0367 0.1455 0.6008
Y2 0.6230 0.3051 0.4505
Pr4 0.1762 0.7125 0.3656
Y3 0.1049 0.9227 0.5499
Pr5 0.1455 0.0367 0.1008
Tb1 0.4232 0.6732 0.5003
Tb2 0.6732 0.4232 0.0003
Pr6 0.5606 0.5970 0.1350
Pr7 0.1859 0.7947 0.8994
Pr8 0.5970 0.5606 0.6350
Y4 0.3051 0.6230 0.9505

## Properties
space group = Fdd2, No. 43
V = 487.14 Å³ per cell



Which is most stable? The ranking, best first, is version Q, version P.